DFT (PBE-GGA) results for a geometry-optimized PmPrGa structure.

Computed properties:
polymorph energy (0 for the lowest one): 15.2 kJ per mole of atoms
formation energy: -0.24 eV per atom

abc: 7.2280 7.2280 7.2280
angles: 90.00 90.00 90.00
Last column: nearest neighbours and their distance in Å.
Space group F-43m (No. 216)
Symmetry-distinct sites (fractional):
Pm 0.0000 0.0000 0.0000 [4 per cell]  4 Ga 3.13
Pr 0.0000 0.0000 0.5000 [4 per cell]  4 Ga 3.13
Ga 0.2500 0.2500 0.2500 [4 per cell]  4 Pr 3.13, 4 Pm 3.13

***

DFT (PBE-GGA) results for a geometry-optimized La2RhS structure.

Computed properties:
raw formation energy: -0.99 eV per atom

abc: 6.4624 6.4624 12.9934
angles: 90.00 90.00 90.00
Last column: nearest neighbours and their distance in Å.
Space group I-42d (No. 122)
Symmetry-distinct sites (fractional):
La 0.2371 0.2500 0.1250 [8 per cell]  2 Rh 2.76, 2 S 2.85
Rh 0.0000 0.0000 0.0000 [4 per cell]  4 La 2.76
S 0.0000 0.0000 0.5000 [4 per cell]  4 La 2.85

***

DFT (PBE-GGA) results for a geometry-optimized NbCoCu2Re structure.

Computed properties:
formation energy: 1.65 eV per atom

abc: 4.6540 4.6540 4.7175
angles: 90.00 90.00 90.00
Last column: nearest neighbours and their distance in Å.
Space group P4/mmm (No. 123)
Symmetry-distinct sites (fractional):
Nb 0.0000 0.0000 0.0000 [1 per cell]  2 Re 2.36
Co 0.5000 0.5000 0.0000 [1 per cell]  4 Nb 3.29, 8 Cu 3.31
Cu 0.0000 0.5000 0.5000 [2 per cell]  2 Re 2.33
Re 0.0000 0.0000 0.5000 [1 per cell]  4 Cu 2.33, 2 Nb 2.36

***

DFT (PBE-GGA) results for a geometry-optimized IrPtPb2O structure.

Computed properties:
raw formation energy: 0.00 eV per atom
polymorph energy (0 for the lowest one): 16.5 kJ per mole of atoms

abc: 3.1152 6.0215 6.3612
angles: 109.59 104.09 104.49
Last column: nearest neighbours and their distance in Å.
Space group P1 (No. 1)
Symmetry-distinct sites (fractional):
Ir 0.0000 0.0000 0.0000 [1 per cell]  2 O 2.05
Pt 0.8210 0.0616 0.5813 [1 per cell]  1 O 2.13
Pb 0.1199 0.6394 0.5873 [1 per cell]  2 Pt 2.93, 2 Ir 2.97, 2 Pb 3.12
Pb 0.6933 0.4164 0.9844 [1 per cell]  2 Ir 2.92, 2 Pt 2.92, 2 Pb 3.12
O 0.6039 0.9938 0.2145 [1 per cell]  2 Ir 2.05, 1 Pt 2.13

***

DFT (PBE-GGA) results for a geometry-optimized NdBMo structure.

Computed properties:
formation energy: -0.10 eV per atom

abc: 3.6688 3.6688 8.8544
angles: 90.00 90.00 90.00
Last column: nearest neighbours and their distance in Å.
Space group P4/nmm (No. 129, origin choice 2)
Symmetry-distinct sites (fractional):
Nd 0.2500 0.2500 0.1886 [2 per cell]  4 B 2.88
B 0.2500 0.2500 0.6691 [2 per cell]  4 Mo 2.37
Mo 0.2500 0.7500 0.5000 [2 per cell]  4 B 2.37, 4 Mo 2.59

***

DFT (PBE-GGA) results for a geometry-optimized UCo4Pd structure.

Computed properties:
formation energy: -0.13 eV per atom

abc: 6.8996 6.8996 6.8996
angles: 90.00 90.00 90.00
Last column: nearest neighbours and their distance in Å.
Space group F-43m (No. 216)
Symmetry-distinct sites (fractional):
U 0.0000 0.0000 0.0000 [4 per cell]  12 Co 2.86, 4 Pd 2.99
Co 0.1245 0.1245 0.3755 [16 per cell]  6 Co 2.43-2.45
Pd 0.2500 0.2500 0.7500 [4 per cell]  12 Co 2.86, 4 U 2.99

***

Question: Which formula does entry 5 have?
Answer: NdBMo